(1)
6
Lattice="1.242 -5.716 -3.109 -4.758 -2.942 -3.548 0.412 -0.153 -6.609" Properties=species:S:1:pos:R:3 comment="K4CoP, optimized geometry, DFT PBE-GGA" final_energy_ev_per_atom=-1.89 formation_enthalpy_0k_ev_per_atom=0.932 vol_a3_per_fu=205.5 pbc="T T T"
K -0.965 -3.392 -8.261
K -0.555 -6.142 -6.531
K -1.168 -3.317 -4.994
K -3.520 -4.771 -6.747
P -2.328 -6.608 -9.950
Co 0.000 0.000 0.000

(2)
5
Lattice="-2.113 -2.820 -3.308 4.317 -1.794 -1.228 -0.561 -3.829 3.623" Properties=species:S:1:pos:R:3 comment="SrZn2AgPt, optimized geometry, DFT PBE-GGA" final_energy_ev_per_atom=-2.92 formation_enthalpy_0k_ev_per_atom=-0.291 vol_a3_per_fu=123.8 pbc="T T T"
Sr 0.821 -4.222 -0.457
Pt 0.000 0.000 0.000
Zn 2.158 -0.897 -0.614
Zn -1.057 -1.410 -1.654
Ag -0.281 -1.914 1.811

(3)
6
Lattice="-3.649 1.521 3.756 1.331 -0.090 5.287 0.676 4.677 2.721" Properties=species:S:1:pos:R:3 comment="NaZn4Sn, optimized geometry, DFT PBE-GGA" final_energy_ev_per_atom=-1.73 formation_enthalpy_0k_ev_per_atom=0.002 vol_a3_per_fu=114.6 pbc="T T T"
Zn -1.368 1.467 5.993
Zn -1.028 3.823 7.363
Zn 0.810 3.057 5.471
Zn -1.698 3.868 4.700
Na 0.000 0.000 0.000
Sn -0.411 1.527 2.941

(4)
14
Lattice="-2.069 3.079 -8.431 6.965 -3.992 -3.121 -7.399 -2.093 2.831" Properties=species:S:1:pos:R:3 comment="TbEr4Sc2, optimized geometry, DFT PBE-GGA" e_above_lowest_polymorph_mev_per_atom=123 final_energy_ev_per_atom=-4.89 formation_enthalpy_0k_ev_per_atom=0.190 vol_a3_per_fu=209.6 pbc="T T T"
Er -1.374 -3.681 -4.501
Er 4.525 -3.400 -4.600
Er 1.220 -0.394 -9.438
Er -2.897 1.354 -6.494
Er 1.578 -2.148 -3.758
Er -3.012 -1.684 -7.666
Er -5.322 -1.080 -2.164
Er -6.925 0.286 -4.807
Sc -3.383 -2.509 0.260
Sc -3.418 -1.021 -4.558
Sc -0.382 -0.689 -6.150
Sc 2.564 -1.896 -6.779
Tb -0.367 -2.187 -1.242
Tb -6.284 -1.274 0.934